This record from Alexandria via LeMat-Bulk describes LaSc4In after structural relaxation. The functional is PBE.

The structure in POSCAR format:
```
LaSc4In
1.0
1.053 -4.716 3.740
-4.275 -4.296 0.779
0.838 -5.598 -2.302
La Sc In
1 4 1
Direct
0.000 0.000 0.000 La
0.874 0.375 0.375 Sc
0.375 0.375 0.874 Sc
0.375 0.874 0.375 Sc
0.375 0.375 0.375 Sc
0.750 0.750 0.750 In
```

Summary:
**Density of states at the Fermi level**: 1.61 states/eV per atom
**Formation enthalpy at 0 K**: 0.098 eV/atom

This record from Alexandria via LeMat-Bulk describes Tb3HoTm12 after structural relaxation. The functional is PBE.

The structure in POSCAR format:
```
Tb3HoTm12
1.0
-0.777 -4.774 -1.024
3.400 -1.273 3.357
-14.028 -0.708 13.938
Tb Ho Tm
3 1 12
Direct
0.000 0.000 0.250 Tb
0.000 0.000 0.500 Tb
0.000 0.000 0.750 Tb
0.000 0.000 0.000 Ho
0.500 0.500 0.000 Tm
0.500 0.500 0.250 Tm
0.500 0.500 0.500 Tm
0.500 0.500 0.750 Tm
0.500 0.000 0.124 Tm
0.500 0.000 0.375 Tm
0.500 0.000 0.625 Tm
0.500 0.000 0.876 Tm
0.000 0.500 0.124 Tm
0.000 0.500 0.375 Tm
0.000 0.500 0.625 Tm
0.000 0.500 0.876 Tm
```

Summary:
**Density of states at the Fermi level**: 1.33 states/eV per atom
**Formation enthalpy at 0 K**: 0.024 eV/atom

This record from Alexandria via LeMat-Bulk describes ScAsPdBr2 after structural relaxation. The functional is PBE.

The structure in POSCAR format:
```
ScAsPdBr2
1.0
-0.601 4.209 -2.900
-4.519 -1.802 -1.679
-2.514 2.473 4.111
Sc As Br Pd
1 1 2 1
Direct
0.000 0.000 0.000 Sc
0.000 0.000 0.500 As
0.000 0.500 0.000 Br
0.500 0.000 0.000 Br
0.500 0.500 0.500 Pd
```

Summary:
**Density of states at the Fermi level**: 0.78 states/eV per atom
**Energy relative to the elements, uncorrected**: -0.142 eV per atom
**Energy above the lowest structure with this stoichiometry**: 0.0000 eV/atom

This record from Alexandria via LeMat-Bulk describes AlFe2Br after structural relaxation. The functional is PBE.

The structure in POSCAR format:
```
AlFe2Br
1.0
-0.393 -0.322 -3.084
-2.941 -0.949 0.474
-2.298 6.906 -0.429
Fe Br Al
2 1 1
Direct
0.000 0.000 0.044 Fe
0.500 0.500 0.226 Fe
0.500 0.500 0.838 Br
0.000 0.000 0.392 Al
```

Summary:
**Density of states at the Fermi level**: 0.60 states/eV per atom
**Energy relative to the elements, uncorrected**: 0.172 eV per atom
**Energy above the lowest structure with this stoichiometry**: 0.0538 eV/atom